<A>
Density functional theory data (GGA-PBE) for Li2Bi2Pb after structural relaxation.

calculated volume: 26.35 Å³ per atom
DOS(E_F): 3.4 states/eV/f.u.

Unit cell a=8.8572 b=8.8572 c=3.3584 alpha=90.00 beta=90.00 gamma=90.00
With the nearest neighbours (Å) after each atom.
Space group P4/mbm (No. 127)
Asymmetric unit:
Li  0.1368  0.3632  0.0000  6 Bi 3.09-3.10, 3 Li 3.36-3.43
Bi  0.1550  0.6550  0.5000  6 Li 3.09-3.10, 2 Pb 3.35, 2 Bi 3.36
Pb  0.0000  0.0000  0.5000  4 Bi 3.35, 2 Pb 3.36


<B>
Density functional theory data (GGA-PBE) for Li2Bi2Pb after structural relaxation.

calculated volume: 25.94 Å³ per atom
DOS(E_F): 3.4 states/eV/f.u.

Unit cell a=4.9782 b=4.9782 c=6.0424 alpha=90.00 beta=90.00 gamma=120.00
With the nearest neighbours (Å) after each atom.
Space group P-3m1 (No. 164)
Asymmetric unit:
Li  0.3333  0.6667  0.1591  5 Bi 3.00-3.08, 3 Pb 3.03
Bi  0.3333  0.6667  0.6563  5 Li 3.00-3.08
Pb  0.0000  0.0000  0.0000  6 Li 3.03


The energy of each structure relative to the most stable one, in eV/atom, is as follows: <A> 0.000; <B> 0.010.


<A>
Density functional theory data (GGA-PBE) for LiBiPb3 after structural relaxation.

calculated volume: 29.05 Å³ per atom
DOS(E_F): 2.2 states/eV/f.u.

Unit cell a=8.8583 b=6.5879 c=10.4025 alpha=90.00 beta=106.83 gamma=90.00
With the nearest neighbours (Å) after each atom.
Space group P2_1/c (No. 14)
Asymmetric unit:
Li  0.1757  0.0033  0.4244  3 Bi 3.05-3.21, 6 Pb 3.09-3.36
Bi  0.1513  0.2405  0.6690  3 Li 3.05-3.21, 3 Pb 3.27-3.38
Pb  0.1350  0.7363  0.6612  3 Li 3.09-3.14, 2 Bi 3.27-3.32, 2 Pb 3.33-3.38
Pb  0.3134  0.5251  0.4539  3 Pb 3.18-3.38, 1 Li 3.36, 2 Bi 3.38-3.53
Pb  0.4992  0.0118  0.6695  2 Li 3.24-3.30, 2 Bi 3.43-3.55, 2 Pb 3.53


<B>
Density functional theory data (GGA-PBE) for LiBiPb3 after structural relaxation.

calculated volume: 29.25 Å³ per atom
DOS(E_F): 3.1 states/eV/f.u.

Unit cell a=5.2689 b=5.2689 c=5.2689 alpha=90.00 beta=90.00 gamma=90.00
With the nearest neighbours (Å) after each atom.
Space group Pm-3m (No. 221)
Asymmetric unit:
Li  0.0000  0.0000  0.0000  6 Pb 2.63
Bi  0.5000  0.5000  0.5000  12 Pb 3.73
Pb  0.0000  0.0000  0.5000  2 Li 2.63


The energy of each structure relative to the most stable one, in eV/atom, is as follows: <A> 0.000; <B> 0.208.